No. 1
Computed, not measured: Rb2CeMgBr6 after structural relaxation at the GGA-PBE level of DFT.

Calculated values
Symmetry ... Pmmn (59)

```
data_Rb2CeMgBr6
_chemical_formula_sum 'Rb4 Ce2 Mg2 Br12'
_cell_length_a 8.103
_cell_length_b 8.203
_cell_length_c 11.516
_cell_angle_alpha 90.00
_cell_angle_beta 90.00
_cell_angle_gamma 90.00
_symmetry_space_group_name_H-M 'P 1'
_symmetry_Int_Tables_number 1
_symmetry_space_group_name_Hall 'P 1'
loop_
_atom_site_label
_atom_site_type_symbol
_atom_site_fract_x
_atom_site_fract_y
_atom_site_fract_z
_atom_site_occupancy
Rb1 Rb 0.500 0.773 0.238 1
Rb2 Rb 0.000 0.227 0.738 1
Rb3 Rb 0.500 0.773 0.762 1
Rb4 Rb 0.000 0.227 0.262 1
Ce1 Ce 0.000 0.740 0.500 1
Ce2 Ce 0.500 0.260 0.000 1
Mg1 Mg 0.500 0.245 0.500 1
Mg2 Mg 0.000 0.755 0.000 1
Br1 Br 0.500 0.238 0.258 1
Br2 Br 0.500 0.238 0.742 1
Br3 Br 0.000 0.762 0.242 1
Br4 Br 0.000 0.762 0.758 1
Br5 Br 0.259 0.998 0.500 1
Br6 Br 0.741 0.998 0.500 1
Br7 Br 0.253 0.479 0.500 1
Br8 Br 0.747 0.479 0.500 1
Br9 Br 0.753 0.521 0.000 1
Br10 Br 0.247 0.521 0.000 1
Br11 Br 0.241 0.002 0.000 1
Br12 Br 0.759 0.002 0.000 1
```

No. 2
Computed, not measured: RbCe2MgBr8 after structural relaxation at the GGA-PBE level of DFT.

Calculated values
Symmetry ... P-1 (2)

```
data_RbCe2MgBr8
_chemical_formula_sum 'Rb1 Ce2 Mg1 Br8'
_cell_length_a 7.145
_cell_length_b 6.862
_cell_length_c 9.072
_cell_angle_alpha 89.87
_cell_angle_beta 90.11
_cell_angle_gamma 87.08
_symmetry_space_group_name_H-M 'P 1'
_symmetry_Int_Tables_number 1
_symmetry_space_group_name_Hall 'P 1'
loop_
_atom_site_label
_atom_site_type_symbol
_atom_site_fract_x
_atom_site_fract_y
_atom_site_fract_z
_atom_site_occupancy
Rb1 Rb 0.000 0.000 0.500 1
Ce1 Ce 0.500 0.500 0.771 1
Ce2 Ce 0.500 0.500 0.229 1
Mg1 Mg 0.000 0.000 0.000 1
Br1 Br 0.159 0.767 0.205 1
Br2 Br 0.680 0.751 0.000 1
Br3 Br 0.840 0.233 0.204 1
Br4 Br 0.841 0.233 0.795 1
Br5 Br 0.320 0.249 0.000 1
Br6 Br 0.160 0.767 0.796 1
Br7 Br 0.626 0.720 0.500 1
Br8 Br 0.374 0.280 0.500 1
```

No. 3
Computed, not measured: CeMnBr5 after structural relaxation at the GGA-PBE level of DFT.

Calculated values
Symmetry ... C2/c (15)

```
data_CeMnBr5
_chemical_formula_sum 'Ce2 Mn2 Br10'
_cell_length_a 7.665
_cell_length_b 7.665
_cell_length_c 10.899
_cell_angle_alpha 108.33
_cell_angle_beta 109.97
_cell_angle_gamma 93.85
_symmetry_space_group_name_H-M 'P 1'
_symmetry_Int_Tables_number 1
_symmetry_space_group_name_Hall 'P 1'
loop_
_atom_site_label
_atom_site_type_symbol
_atom_site_fract_x
_atom_site_fract_y
_atom_site_fract_z
_atom_site_occupancy
Ce1 Ce 0.000 0.000 0.000 1
Ce2 Ce 0.000 0.500 0.500 1
Mn1 Mn 0.609 0.859 0.250 1
Mn2 Mn 0.391 0.141 0.750 1
Br1 Br 0.255 0.822 0.169 1
Br2 Br 0.230 0.850 0.540 1
Br3 Br 0.347 0.414 0.669 1
Br4 Br 0.082 0.332 0.250 1
Br5 Br 0.311 0.190 0.960 1
Br6 Br 0.689 0.810 0.040 1
Br7 Br 0.918 0.668 0.750 1
Br8 Br 0.653 0.586 0.331 1
Br9 Br 0.770 0.150 0.460 1
Br10 Br 0.745 0.178 0.831 1
```

| no. | formation energy from raw total energies (kcal/mol of atoms) |
| --- | --- |
| 1 | -35.72 |
| 2 | -37.56 |
| 3 | -30.65 |